w.
A plane-wave DFT calculation with PBE was carried out for an optimized crystal structure of TlNi2Ge2.

Cell lengths 7.413, 7.413, 2.984 Å; angles 90.00, 90.00, 90.00 degrees
Sites, in units of the cell vectors:
Tl1 0.000 0.000 0.000
Tl2 0.500 0.500 0.000
Ni1 0.129 0.371 0.000
Ni2 0.371 0.871 0.000
Ni3 0.629 0.129 0.000
Ni4 0.871 0.629 0.000
Ge1 0.149 0.649 0.500
Ge2 0.351 0.149 0.500
Ge3 0.649 0.851 0.500
Ge4 0.851 0.351 0.500

Space group = No. 127
Total magnetization = 0.0 μB per cell
Calculated density = 9.5 g/cm³


x.
A plane-wave DFT calculation with PBE was carried out for an optimized crystal structure of TlNi2Ge2.

Cell lengths 3.849, 3.849, 11.445 Å; angles 90.00, 90.00, 90.00 degrees
Sites, in units of the cell vectors:
Tl1 0.000 0.000 0.000
Tl2 0.500 0.500 0.500
Ni1 0.000 0.000 0.380
Ni2 0.000 0.000 0.620
Ni3 0.500 0.500 0.120
Ni4 0.500 0.500 0.880
Ge1 0.000 0.500 0.250
Ge2 0.000 0.500 0.750
Ge3 0.500 0.000 0.250
Ge4 0.500 0.000 0.750

Space group = No. 139
Total magnetization = 0.0 μB per cell
Calculated density = 9.2 g/cm³


y.
A plane-wave DFT calculation with PBE was carried out for an optimized crystal structure of TlNi2Ge2.

Cell lengths 7.714, 7.714, 2.772 Å; angles 90.00, 90.00, 90.00 degrees
Sites, in units of the cell vectors:
Tl1 0.000 0.000 0.000
Tl2 0.500 0.500 0.000
Ni1 0.152 0.348 0.500
Ni2 0.348 0.848 0.500
Ni3 0.652 0.152 0.500
Ni4 0.848 0.652 0.500
Ge1 0.131 0.631 0.000
Ge2 0.369 0.131 0.000
Ge3 0.631 0.869 0.000
Ge4 0.869 0.369 0.000

Space group = No. 127
Total magnetization = 0.0 μB per cell
Calculated density = 9.4 g/cm³


Which one sits at the top of the stability order? x does.


w.
A plane-wave DFT calculation with PBE was carried out for an optimized crystal structure of TlNiGe3.

Cell lengths 5.288, 5.288, 5.288 Å; angles 90.00, 90.00, 90.00 degrees
Sites, in units of the cell vectors:
Tl1 0.000 0.000 0.000
Ni1 0.500 0.500 0.500
Ge1 0.000 0.000 0.500
Ge2 0.000 0.500 0.000
Ge3 0.500 0.000 0.000

Space group = No. 221
Total magnetization = 0.0 μB per cell
Calculated density = 5.4 g/cm³


x.
A plane-wave DFT calculation with PBE was carried out for an optimized crystal structure of TlNiGe3.

Cell lengths 4.725, 4.725, 4.725 Å; angles 90.00, 90.00, 90.00 degrees
Sites, in units of the cell vectors:
Tl1 0.000 0.000 0.000
Ni1 0.500 0.500 0.500
Ge1 0.000 0.500 0.500
Ge2 0.500 0.000 0.500
Ge3 0.500 0.500 0.000

Space group = No. 221
Total magnetization = 0.0 μB per cell
Calculated density = 7.6 g/cm³


Which one sits at the top of the stability order? x does.


w.
A plane-wave DFT calculation with PBE was carried out for an optimized crystal structure of Tm2Ni3Ge5.

Cell lengths 8.092, 8.092, 8.092 Å; angles 105.72, 89.51, 137.53 degrees
Sites, in units of the cell vectors:
Tm1 0.137 0.232 0.369
Tm2 0.363 0.732 0.094
Tm3 0.637 0.268 0.906
Tm4 0.863 0.768 0.631
Ni1 0.139 0.891 0.030
Ni2 0.250 0.750 0.500
Ni3 0.361 0.391 0.752
Ni4 0.639 0.609 0.248
Ni5 0.750 0.250 0.500
Ni6 0.861 0.109 0.970
Ge1 0.022 0.750 0.272
Ge2 0.096 0.662 0.759
Ge3 0.250 0.250 0.000
Ge4 0.404 0.162 0.566
Ge5 0.478 0.750 0.728
Ge6 0.522 0.250 0.272
Ge7 0.596 0.838 0.434
Ge8 0.750 0.750 0.000
Ge9 0.904 0.338 0.241
Ge10 0.978 0.250 0.728

Space group = No. 72
Total magnetization = 0.0 μB per cell
Calculated density = 8.9 g/cm³


x.
A plane-wave DFT calculation with PBE was carried out for an optimized crystal structure of Tm2Ni3Ge5.

Cell lengths 12.138, 12.138, 6.708 Å; angles 90.00, 90.00, 160.58 degrees
Sites, in units of the cell vectors:
Tm1 0.023 0.977 0.500
Tm2 0.327 0.673 0.506
Tm3 0.673 0.327 0.006
Tm4 0.977 0.023 0.000
Ni1 0.106 0.894 0.771
Ni2 0.278 0.722 0.975
Ni3 0.447 0.553 0.718
Ni4 0.553 0.447 0.218
Ni5 0.722 0.278 0.475
Ni6 0.894 0.106 0.271
Ge1 0.096 0.904 0.135
Ge2 0.203 0.797 0.693
Ge3 0.214 0.786 0.279
Ge4 0.380 0.620 0.013
Ge5 0.451 0.549 0.334
Ge6 0.549 0.451 0.834
Ge7 0.620 0.380 0.513
Ge8 0.786 0.214 0.779
Ge9 0.797 0.203 0.193
Ge10 0.904 0.096 0.635

Space group = No. 36
Total magnetization = 0.0 μB per cell
Calculated density = 8.9 g/cm³


Which one sits at the top of the stability order? w does.


w.
A plane-wave DFT calculation with PBE was carried out for an optimized crystal structure of Tm2Ni6Ge.

Cell lengths 5.730, 5.730, 5.730 Å; angles 60.00, 60.00, 60.00 degrees
Sites, in units of the cell vectors:
Tm1 0.250 0.250 0.250
Tm2 0.750 0.750 0.750
Ni1 0.216 0.216 0.784
Ni2 0.216 0.784 0.216
Ni3 0.216 0.784 0.784
Ni4 0.784 0.216 0.216
Ni5 0.784 0.216 0.784
Ni6 0.784 0.784 0.216
Ge1 0.500 0.500 0.500

Space group = No. 225
Total magnetization = 0.0 μB per cell
Calculated density = 9.5 g/cm³


x.
A plane-wave DFT calculation with PBE was carried out for an optimized crystal structure of Tm2Ni6Ge.

Cell lengths 5.171, 5.171, 5.716 Å; angles 101.67, 101.67, 60.80 degrees
Sites, in units of the cell vectors:
Tm1 0.144 0.144 0.340
Tm2 0.856 0.856 0.660
Ni1 0.102 0.626 0.169
Ni2 0.374 0.898 0.831
Ni3 0.379 0.379 0.823
Ni4 0.621 0.621 0.177
Ni5 0.626 0.102 0.169
Ni6 0.898 0.374 0.831
Ge1 0.500 0.500 0.500

Space group = No. 12
Total magnetization = 0.0 μB per cell
Calculated density = 9.8 g/cm³


Which one sits at the top of the stability order? x does.


w.
A plane-wave DFT calculation with PBE was carried out for an optimized crystal structure of TmNi3Ge.

Cell lengths 7.147, 7.147, 4.451 Å; angles 90.00, 90.00, 130.28 degrees
Sites, in units of the cell vectors:
Tm1 0.106 0.894 0.750
Tm2 0.894 0.106 0.250
Ni1 0.082 0.547 0.250
Ni2 0.453 0.918 0.250
Ni3 0.500 0.500 0.000
Ni4 0.500 0.500 0.500
Ni5 0.547 0.082 0.750
Ni6 0.918 0.453 0.750
Ge1 0.340 0.660 0.750
Ge2 0.660 0.340 0.250

Space group = No. 63
Total magnetization = 0.5 μB per cell
Calculated density = 8.0 g/cm³


x.
A plane-wave DFT calculation with PBE was carried out for an optimized crystal structure of TmNi3Ge.

Cell lengths 5.679, 5.679, 11.385 Å; angles 90.00, 90.00, 120.00 degrees
Sites, in units of the cell vectors:
Tm1 0.000 0.000 0.000
Tm2 0.000 0.000 0.500
Tm3 0.333 0.667 0.250
Tm4 0.667 0.333 0.750
Ni1 0.000 0.500 0.000
Ni2 0.000 0.500 0.500
Ni3 0.136 0.272 0.750
Ni4 0.136 0.864 0.750
Ni5 0.272 0.136 0.250
Ni6 0.500 0.000 0.000
Ni7 0.500 0.000 0.500
Ni8 0.500 0.500 0.000
Ni9 0.500 0.500 0.500
Ni10 0.728 0.864 0.750
Ni11 0.864 0.136 0.250
Ni12 0.864 0.728 0.250
Ge1 0.333 0.667 0.637
Ge2 0.333 0.667 0.863
Ge3 0.667 0.333 0.137
Ge4 0.667 0.333 0.363

Space group = No. 194
Total magnetization = 0.0 μB per cell
Calculated density = 8.7 g/cm³


Which one sits at the top of the stability order? x does.


w.
A plane-wave DFT calculation with PBE was carried out for an optimized crystal structure of Tm3Ni7Ge2.

Cell lengths 12.294, 12.294, 3.856 Å; angles 90.00, 90.00, 161.61 degrees
Sites, in units of the cell vectors:
Tm1 0.000 0.000 0.000
Tm2 0.182 0.818 0.000
Tm3 0.818 0.182 0.000
Ni1 0.078 0.922 0.500
Ni2 0.275 0.725 0.500
Ni3 0.423 0.577 0.000
Ni4 0.500 0.500 0.500
Ni5 0.577 0.423 0.000
Ni6 0.725 0.275 0.500
Ni7 0.922 0.078 0.500
Ge1 0.370 0.630 0.500
Ge2 0.630 0.370 0.500

Space group = No. 65
Total magnetization = 0.0 μB per cell
Calculated density = 9.6 g/cm³


x.
A plane-wave DFT calculation with PBE was carried out for an optimized crystal structure of Tm3Ni7Ge2.

Cell lengths 8.385, 8.385, 8.385 Å; angles 35.62, 35.62, 35.62 degrees
Sites, in units of the cell vectors:
Tm1 0.000 0.000 0.000
Tm2 0.142 0.142 0.142
Tm3 0.858 0.858 0.858
Ni1 0.083 0.581 0.581
Ni2 0.419 0.419 0.917
Ni3 0.419 0.917 0.419
Ni4 0.500 0.500 0.500
Ni5 0.581 0.083 0.581
Ni6 0.581 0.581 0.083
Ni7 0.917 0.419 0.419
Ge1 0.332 0.332 0.332
Ge2 0.668 0.668 0.668

Space group = No. 166
Total magnetization = 0.0 μB per cell
Calculated density = 9.9 g/cm³


Which one sits at the top of the stability order? x does.


w.
A plane-wave DFT calculation with PBE was carried out for an optimized crystal structure of UNi3Ge3.

Cell lengths 6.753, 6.753, 6.753 Å; angles 60.67, 60.67, 60.67 degrees
Sites, in units of the cell vectors:
U1 0.146 0.146 0.146
U2 0.854 0.854 0.854
Ni1 0.230 0.409 0.677
Ni2 0.323 0.770 0.591
Ni3 0.409 0.677 0.230
Ni4 0.591 0.323 0.770
Ni5 0.677 0.230 0.409
Ni6 0.770 0.591 0.323
Ge1 0.042 0.260 0.566
Ge2 0.260 0.566 0.042
Ge3 0.434 0.958 0.740
Ge4 0.566 0.042 0.260
Ge5 0.740 0.434 0.958
Ge6 0.958 0.740 0.434

Space group = No. 148
Total magnetization = 3.3 μB per cell
Calculated density = 9.5 g/cm³


x.
A plane-wave DFT calculation with PBE was carried out for an optimized crystal structure of UNi3Ge3.

Cell lengths 6.370, 6.370, 6.370 Å; angles 90.00, 90.00, 90.00 degrees
Sites, in units of the cell vectors:
U1 0.000 0.000 0.000
U2 0.500 0.500 0.500
Ni1 0.000 0.250 0.500
Ni2 0.000 0.750 0.500
Ni3 0.250 0.500 0.000
Ni4 0.500 0.000 0.250
Ni5 0.500 0.000 0.750
Ni6 0.750 0.500 0.000
Ge1 0.000 0.500 0.250
Ge2 0.000 0.500 0.750
Ge3 0.250 0.000 0.500
Ge4 0.500 0.250 0.000
Ge5 0.500 0.750 0.000
Ge6 0.750 0.000 0.500

Space group = No. 223
Total magnetization = 6.1 μB per cell
Calculated density = 8.1 g/cm³


Which one sits at the top of the stability order? w does.


w.
A plane-wave DFT calculation with PBE was carried out for an optimized crystal structure of V3NiGe.

Cell lengths 4.321, 4.321, 4.321 Å; angles 90.00, 90.00, 90.00 degrees
Sites, in units of the cell vectors:
V1 0.000 0.000 0.500
V2 0.000 0.500 0.000
V3 0.500 0.000 0.000
Ni1 0.000 0.000 0.000
Ge1 0.500 0.500 0.500

Space group = No. 221
Total magnetization = 0.0 μB per cell
Calculated density = 5.8 g/cm³


x.
A plane-wave DFT calculation with PBE was carried out for an optimized crystal structure of V3NiGe.

Cell lengths 5.969, 5.969, 5.969 Å; angles 90.06, 110.66, 130.24 degrees
Sites, in units of the cell vectors:
V1 0.093 0.942 0.651
V2 0.201 0.006 0.207
V3 0.201 0.494 0.695
V4 0.292 0.442 0.349
V5 0.799 0.506 0.305
V6 0.799 0.994 0.793
Ni1 0.142 0.614 0.029
Ni2 0.585 0.114 0.971
Ge1 0.654 0.442 0.712
Ge2 0.730 0.942 0.288

Space group = No. 46
Total magnetization = 0.0 μB per cell
Calculated density = 6.6 g/cm³


Which one sits at the top of the stability order? x does.


w.
A plane-wave DFT calculation with PBE was carried out for an optimized crystal structure of VNi4Ge.

Cell lengths 8.461, 8.461, 4.997 Å; angles 90.00, 90.00, 155.70 degrees
Sites, in units of the cell vectors:
V1 0.078 0.922 0.750
V2 0.922 0.078 0.250
Ni1 0.071 0.929 0.250
Ni2 0.349 0.651 0.000
Ni3 0.349 0.651 0.500
Ni4 0.500 0.500 0.000
Ni5 0.500 0.500 0.500
Ni6 0.651 0.349 0.000
Ni7 0.651 0.349 0.500
Ni8 0.929 0.071 0.750
Ge1 0.226 0.774 0.250
Ge2 0.774 0.226 0.750

Space group = No. 63
Total magnetization = 0.0 μB per cell
Calculated density = 8.1 g/cm³


x.
A plane-wave DFT calculation with PBE was carried out for an optimized crystal structure of VNi4Ge.

Cell lengths 4.325, 7.737, 4.322 Å; angles 90.00, 105.39, 90.00 degrees
Sites, in units of the cell vectors:
V1 0.000 0.000 0.000
V2 0.500 0.500 0.000
Ni1 0.000 0.164 0.500
Ni2 0.000 0.334 0.000
Ni3 0.000 0.666 0.000
Ni4 0.000 0.836 0.500
Ni5 0.500 0.166 0.000
Ni6 0.500 0.336 0.500
Ni7 0.500 0.664 0.500
Ni8 0.500 0.834 0.000
Ge1 0.000 0.500 0.500
Ge2 0.500 0.000 0.500

Space group = No. 12
Total magnetization = 0.0 μB per cell
Calculated density = 8.5 g/cm³


Which one sits at the top of the stability order? x does.


w.
A plane-wave DFT calculation with PBE was carried out for an optimized crystal structure of V2Ni4Ge.

Cell lengths 4.883, 4.883, 8.546 Å; angles 90.00, 90.00, 58.86 degrees
Sites, in units of the cell vectors:
V1 0.168 0.168 0.000
V2 0.332 0.332 0.500
V3 0.668 0.668 0.500
V4 0.832 0.832 0.000
Ni1 0.062 0.438 0.750
Ni2 0.109 0.891 0.768
Ni3 0.391 0.609 0.268
Ni4 0.438 0.062 0.250
Ni5 0.562 0.938 0.750
Ni6 0.609 0.391 0.732
Ni7 0.891 0.109 0.232
Ni8 0.938 0.562 0.250
Ge1 0.000 0.000 0.500
Ge2 0.500 0.500 0.000

Space group = No. 64
Total magnetization = 0.0 μB per cell
Calculated density = 7.8 g/cm³


x.
A plane-wave DFT calculation with PBE was carried out for an optimized crystal structure of V2Ni4Ge.

Cell lengths 4.275, 4.275, 12.016 Å; angles 90.00, 90.00, 90.00 degrees
Sites, in units of the cell vectors:
V1 0.000 0.000 0.121
V2 0.000 0.000 0.879
V3 0.500 0.500 0.379
V4 0.500 0.500 0.621
Ni1 0.000 0.000 0.306
Ni2 0.000 0.000 0.694
Ni3 0.000 0.500 0.000
Ni4 0.000 0.500 0.500
Ni5 0.500 0.000 0.000
Ni6 0.500 0.000 0.500
Ni7 0.500 0.500 0.194
Ni8 0.500 0.500 0.806
Ge1 0.000 0.000 0.500
Ge2 0.500 0.500 0.000

Space group = No. 139
Total magnetization = 8.5 μB per cell
Calculated density = 6.2 g/cm³


Which one sits at the top of the stability order? w does.